DFT (PBE+U) results for a geometry-optimized Cd2NiTeO structure.

abc: 4.8301 4.8301 4.1216
angles: 90.00 90.00 90.00
With the nearest neighbours (Å) after each atom.
Positions (direct):
Cd 0.0000 0.5000 0.0000  2 O 2.42
Cd 0.5000 0.0000 0.0000  2 O 2.42
Ni 0.0000 0.0000 0.5000  2 O 2.06
Te 0.5000 0.5000 0.5000  8 Cd 3.17, 4 Ni 3.42
O 0.0000 0.0000 0.0000  2 Ni 2.06

The uncorrected energy is -0.099 hartree per atom. As for the crystal system: tetragonal. Its space group is No. 123.